FeMoRh2 | meta-GGA SCAN | PBEsol geometry

The structure in POSCAR format:
```
FeMoRh2
1.0
-1.4939 -0.6412 2.1282
-1.3624 -3.2775 -1.9438
4.4794 -2.3161 0.7656
Fe Mo Rh
1 1 2
direct
0.3063 0.0000 0.4869
0.4396 0.5000 0.7546
0.0479 0.0000 0.9714
0.7063 0.5000 0.2870
```

Computed properties:
As for the density of states at the Fermi level: 3.4 states/eV/f.u. The electronic total energy comes out at -120.60 eV for the cell shown. For the total moment, the calculation gives 0.611 μB/atom. Its space group is Amm2.



Zr2TaRu | meta-GGA SCAN | PBEsol geometry

The structure in POSCAR format:
```
Zr2TaRu
1.0
3.0393 0.0000 0.0087
0.0000 4.4896 0.0000
-1.3260 0.0000 5.3198
Ru Ta Zr
1 1 2
direct
0.4959 0.0000 0.5086
0.2877 0.5000 0.7343
0.9978 0.0000 0.9926
0.7187 0.5000 0.2645
```

Computed properties:
As for the density of states at the Fermi level: 3.3 states/eV/f.u. The electronic total energy comes out at -163.45 eV for the cell shown. For the total moment, the calculation gives 0.000 μB/atom. Its space group is Pm.